[1]
The following is a GGA-PBEsol calculation of a geometry-optimized CaY2Rh2 structure, from Alexandria.

ΔE_f = -0.2045 eV per atom
Relative energy among the computed polymorphs = 376 meV per atom

a = 6.333 Å, b = 6.333 Å, c = 6.333 Å
α = 134.30°, β = 134.30°, γ = 66.62°
Positions (direct):
Ca1 0.000 0.000 0.000
Y1 0.339 0.339 0.000
Y2 0.661 0.661 0.000
Rh1 0.250 0.750 0.500
Rh2 0.750 0.250 0.500



[2]
The following is a GGA-PBEsol calculation of a geometry-optimized NaLaIr2I structure, from Alexandria.

Raw formation energy = 0.77 eV per atom

a = 4.992 Å, b = 4.992 Å, c = 4.952 Å
α = 90.00°, β = 90.00°, γ = 90.00°
Positions (direct):
Na1 0.000 0.000 0.000
La1 0.500 0.500 0.000
Ir1 0.000 0.500 0.500
Ir2 0.500 0.000 0.500
I1 0.000 0.000 0.500



[3]
The following is a GGA-PBEsol calculation of a geometry-optimized K3InRh structure, from Alexandria.

ΔE_f = 1.1589 eV per atom

a = 6.353 Å, b = 6.353 Å, c = 6.353 Å
α = 90.00°, β = 90.00°, γ = 90.00°
Positions (direct):
K1 0.000 0.000 0.500
K2 0.000 0.500 0.000
K3 0.500 0.000 0.000
In1 0.000 0.000 0.000
Rh1 0.500 0.500 0.500



[4]
The following is a GGA-PBEsol calculation of a geometry-optimized MnCo4 structure, from Alexandria.

ΔE_f = 0.0609 eV per atom
Relative energy among the computed polymorphs = 0 meV per atom

a = 4.225 Å, b = 4.225 Å, c = 4.225 Å
α = 99.48°, β = 99.48°, γ = 132.12°
Positions (direct):
Mn1 0.000 0.000 0.000
Co1 0.200 0.599 0.799
Co2 0.401 0.200 0.601
Co3 0.599 0.800 0.399
Co4 0.800 0.401 0.201



Number 1: E_tot -6.615 eV per atom. Number 2: E_tot -4.860 eV per atom. Number 3: E_tot -1.745 eV per atom. Number 4: E_tot -8.081 eV per atom.